Material: CeSbTe
Method: DFT, PBEsol
State: optimized geometry

a b c (Å): 4.314 4.314 9.050
angles (deg): 90.00 90.00 90.00
Fractional positions:
1 Ce 0.250 0.250 0.226
2 Ce 0.750 0.750 0.774
3 Sb 0.250 0.750 0.500
4 Sb 0.750 0.250 0.500
5 Te 0.250 0.250 0.867
6 Te 0.750 0.750 0.133

## Properties
Raw formation energy, eV per atom: -1.124
Symmetry: P4/nmm, No. 129
Theoretical density, g cm⁻³: 7.68
Uncorrected energy, Ry per atom: -0.4422